# 1
12
Lattice="6.9491 0.0000 0.0000 0.0000 6.1385 0.0000 -6.3968 0.0000 8.1214" Properties=species:S:1:pos:R:3 comment="PrDyRh (PBE, optimized geometry)" total_magnetization_mub_per_fu=0.0 formation_energy_mev_per_atom=-478 spacegroup=P2_1/c relative_energy_mev_per_atom=92 pbc="T T T"
Pr -1.2044 0.7981 3.1368
Pr -4.4028 2.2712 7.1975
Pr 4.9551 3.8673 0.9239
Pr 1.7566 5.3405 4.9847
Dy -1.6798 3.7721 5.1379
Dy 1.5186 5.4357 1.0772
Dy -0.9664 0.7028 7.0443
Dy 2.2321 2.3664 2.9835
Rh 0.0096 4.1216 2.9720
Rh -3.1888 5.0862 7.0327
Rh 3.7411 1.0523 1.0887
Rh 0.5427 2.0169 5.1494

# 2
4
Lattice="0.0000 3.4852 3.4852 3.4852 0.0000 3.4852 3.4852 3.4852 0.0000" Properties=species:S:1:pos:R:3 comment="PrDyRuRh (PBE, optimized geometry)" total_magnetization_mub_per_fu=0.0 formation_energy_mev_per_atom=-441 spacegroup=F-43m pbc="T T T"
Pr 0.0000 0.0000 0.0000
Dy 3.4852 3.4852 3.4852
Ru 5.2278 5.2278 5.2278
Rh 1.7426 1.7426 1.7426

# 3
10
Lattice="4.4280 0.0000 0.0000 0.0000 4.4280 0.0000 0.0000 0.0000 11.3849" Properties=species:S:1:pos:R:3 comment="Pr2DySb3Rh4 (PBE, optimized geometry)" total_magnetization_mub_per_fu=0.0 spacegroup=P-4m2 raw_formation_energy_kj_per_mol_atoms=-83.5 pbc="T T T"
Pr 0.0000 2.2140 2.5913
Pr 2.2140 0.0000 8.7936
Dy 0.0000 0.0000 5.6924
Sb 0.0000 2.2140 9.9096
Sb 2.2140 0.0000 1.4753
Sb 2.2140 2.2140 5.6924
Rh 0.0000 0.0000 0.0000
Rh 0.0000 2.2140 7.3352
Rh 2.2140 0.0000 4.0496
Rh 2.2140 2.2140 0.0000